## Ce2TiGa4Pd3 (PBE-GGA)

Data for crystalline Ce2TiGa4Pd3 at its relaxed geometry.

Space group: P-4m2
Total moment: 0.89 μB per formula unit
Calculated formation energy: -0.66 eV/atom

a = 4.1640 Å, b = 4.1640 Å, c = 11.2119 Å
α = 90.00°, β = 90.00°, γ = 90.00°
With the nearest neighbours (Å) after each atom.
Atoms (fractional coordinates):
Ce 0.0000 0.5000 0.2463  8 Ga 3.19-3.46, 6 Pd 3.20-3.53, 2 Ti 3.53
Ce 0.5000 0.0000 0.7537  8 Ga 3.19-3.46, 6 Pd 3.20-3.53, 2 Ti 3.53
Ti 0.0000 0.0000 0.5000  4 Ga 2.63, 4 Pd 2.94
Ga 0.0000 0.0000 0.0000  4 Pd 2.56
Ga 0.0000 0.5000 0.6434  3 Pd 2.50-2.63, 2 Ti 2.63
Ga 0.5000 0.0000 0.3566  3 Pd 2.50-2.63, 2 Ti 2.63
Ga 0.5000 0.5000 0.0000  4 Pd 2.56
Pd 0.0000 0.5000 0.8665  5 Ga 2.50-2.56
Pd 0.5000 0.0000 0.1335  5 Ga 2.50-2.56
Pd 0.5000 0.5000 0.5000  4 Ga 2.63, 4 Ti 2.94